Entry 1:
GGA-PBE Tm2TeRu, optimized geometry; symmetry = P4/mmm; total moment = 0.0 μB per formula unit; relative energy among the computed polymorphs = 0.000 eV/atom; E_form (uncorrected) = -0.725 eV/atom
1.0
3.5261 0.0000 0.0000
0.0000 3.5261 0.0000
0.0000 0.0000 7.3629
Tm Te Ru
2 1 1
Cartesian
0.0000 0.0000 1.6215
0.0000 0.0000 5.7414
1.7631 1.7631 3.6814
1.7631 1.7631 0.0000

Entry 2:
GGA-PBE Ca2TeBr, optimized geometry; symmetry = P2/m; total moment = 0.7 μB per formula unit; relative energy among the computed polymorphs = 0.135 eV/atom; E_form (uncorrected) = -1.311 eV/atom
1.0
4.0135 0.0000 0.0000
0.0000 4.0678 0.0000
-0.0445 0.0000 7.7496
Ca Te Br
2 1 1
Cartesian
-0.0027 0.0000 1.7367
3.9716 0.0000 6.0129
2.0067 2.0339 0.0000
-0.0223 2.0339 3.8748

Entry 3:
GGA-PBE UAgOs, optimized geometry; energy of formation = 69 kJ/mol of formula units; symmetry = C2/m; total moment = 0.0 μB per formula unit
1.0
10.1213 0.0000 0.0000
0.0000 2.9196 0.0000
-0.2122 0.0000 7.4107
U Ag Os
4 4 4
Cartesian
0.2830 0.0000 1.2530
4.5655 1.4598 6.1577
5.3437 1.4598 1.2530
9.6262 0.0000 6.1577
1.2577 1.4598 3.8829
3.5908 0.0000 3.5278
6.3184 0.0000 3.8829
8.6515 1.4598 3.5278
2.1299 0.0000 6.3123
2.7186 1.4598 1.0985
7.1906 1.4598 6.3123
7.7793 0.0000 1.0985

Entry 4:
GGA-PBE Pr2GeCl, optimized geometry; symmetry = Pnma; total moment = 0.0 μB per formula unit; relative energy among the computed polymorphs = 0.009 eV/atom; E_form (uncorrected) = -1.255 eV/atom
1.0
7.5961 0.0000 0.0000
0.0000 4.1366 0.0000
0.0000 0.0000 14.2665
Pr Ge Cl
8 4 4
Cartesian
1.1632 1.0341 3.4013
1.5886 3.1024 14.2140
2.2095 1.0341 7.0808
2.6349 3.1024 10.5345
4.9612 1.0341 3.7319
5.3866 3.1024 7.1857
6.0075 1.0341 0.0525
6.4329 3.1024 10.8652
0.6742 1.0341 12.1645
3.1238 3.1024 5.0312
4.4723 1.0341 9.2352
6.9219 3.1024 2.1020
0.5745 3.1024 8.5000
3.2236 1.0341 1.3668
4.3725 3.1024 12.8997
7.0216 1.0341 5.7665

Entry 5:
GGA-PBE CeErAs, optimized geometry; energy of formation = -158 kJ/mol of formula units; symmetry = P3m1; total moment = 1.8 μB per formula unit
1.0
4.8019 0.0000 0.0000
-2.4010 4.1586 0.0000
0.0000 0.0000 4.0302
Ce Er As
1 1 1
Cartesian
0.0000 0.0000 0.0000
2.4010 1.3862 2.0177
0.0000 2.7724 1.9839

Entry 6:
GGA-PBE Be2SbRh2, optimized geometry; symmetry = P4/mbm; total moment = 0.0 μB per formula unit; relative energy among the computed polymorphs = 0.028 eV/atom; E_form (uncorrected) = -0.250 eV/atom
1.0
6.8304 0.0000 0.0000
0.0000 6.8304 0.0000
0.0000 0.0000 2.9426
Be Sb Rh
4 2 4
Cartesian
0.8895 2.5257 0.0000
2.5257 5.9409 0.0000
4.3047 0.8895 0.0000
5.9409 4.3047 0.0000
0.0000 0.0000 1.4713
3.4152 3.4152 1.4713
1.0391 4.4542 1.4713
2.3761 1.0391 1.4713
4.4542 5.7913 1.4713
5.7913 2.3761 1.4713